(1)
Density functional theory data (GGA-PBE) for a geometry-optimized Li2AlHg structure.

a = 4.9367 Å, b = 4.9367 Å, c = 4.9610 Å
α = 78.75°, β = 78.75°, γ = 36.65°
Last column: nearest neighbours and their distance in Å.
Element x y z (fractional)
Li (0.9945, 0.9945, 0.0007)  5 Li 2.78-3.10, 3 Hg 2.82-2.92, 4 Al 2.92-2.93
Li (0.7543, 0.7543, 0.7521)  5 Li 2.78-3.10, 3 Al 2.84-2.92, 4 Hg 2.91-2.94
Hg (0.2517, 0.2517, 0.2488)  7 Li 2.82-2.94, 3 Al 2.85-2.89, 2 Hg 3.10
Al (0.4996, 0.4996, 0.4984)  7 Li 2.84-2.93, 3 Hg 2.85-2.89, 2 Al 3.10

Summary:
As for the crystal system: monoclinic. The energy relative to the elements is -178 meV per atom.


(2)
Density functional theory data (GGA-PBE) for a geometry-optimized CdSn2Ge2Rh5 structure.

a = 3.5825 Å, b = 9.7825 Å, c = 9.7825 Å
α = 90.00°, β = 90.00°, γ = 90.00°
Last column: nearest neighbours and their distance in Å.
Element x y z (fractional)
Rh (0.5000, 0.2939, 0.5830)  2 Ge 2.47
Rh (0.5000, 0.5000, 0.0000)  4 Ge 2.49
Rh (0.5000, 0.4170, 0.2939)  2 Ge 2.47
Rh (0.5000, 0.5830, 0.7061)  2 Ge 2.47
Rh (0.5000, 0.7061, 0.4170)  2 Ge 2.47
Rh (0.5000, 0.0000, 0.5000)  4 Ge 2.49
Rh (0.5000, 0.9170, 0.2061)  2 Ge 2.47
Rh (0.5000, 0.7939, 0.9170)  2 Ge 2.47
Rh (0.5000, 0.2061, 0.0830)  2 Ge 2.47
Rh (0.5000, 0.0830, 0.7939)  2 Ge 2.47
Ge (0.0000, 0.8750, 0.3750)  6 Rh 2.47-2.49, 1 Sn 2.76
Ge (0.0000, 0.1250, 0.6250)  6 Rh 2.47-2.49, 1 Sn 2.76
Ge (0.0000, 0.3750, 0.1250)  6 Rh 2.47-2.49, 1 Sn 2.76
Ge (0.0000, 0.6250, 0.8750)  6 Rh 2.47-2.49, 1 Sn 2.76
Sn (0.0000, 0.1758, 0.3242)  3 Ge 2.76-2.98, 6 Rh 2.98-3.02
Sn (0.0000, 0.3242, 0.8242)  3 Ge 2.76-2.98, 6 Rh 2.98-3.02
Sn (0.0000, 0.6758, 0.1758)  3 Ge 2.76-2.98, 6 Rh 2.98-3.02
Sn (0.0000, 0.8242, 0.6758)  3 Ge 2.76-2.98, 6 Rh 2.98-3.02
Cd (0.0000, 0.0000, 0.0000)  8 Rh 2.82
Cd (0.0000, 0.5000, 0.5000)  8 Rh 2.82

Summary:
As for the crystal system: tetragonal. The energy relative to the elements is -208 meV per atom.


(3)
Density functional theory data (GGA-PBE) for a geometry-optimized Mg4Cd3Pd2 structure.

a = 4.2742 Å, b = 5.0271 Å, c = 8.9553 Å
α = 77.86°, β = 90.11°, γ = 64.44°
Last column: nearest neighbours and their distance in Å.
Element x y z (fractional)
Mg (0.3329, 0.3345, 0.1104)  4 Pd 2.84-3.04, 4 Cd 2.92-2.98, 4 Mg 3.04-3.06
Mg (0.6671, 0.6655, 0.8896)  4 Pd 2.84-3.04, 4 Cd 2.92-2.98, 4 Mg 3.04-3.06
Mg (0.9901, 0.0163, 0.6784)  6 Cd 2.86-3.11, 3 Pd 2.89-2.93, 2 Mg 3.04-3.05
Mg (0.0099, 0.9837, 0.3216)  6 Cd 2.86-3.11, 3 Pd 2.89-2.93, 2 Mg 3.04-3.05
Cd (0.0000, 0.0000, 0.0000)  8 Mg 2.86-2.95, 4 Pd 3.07-3.09
Cd (0.3356, 0.3289, 0.4441)  6 Mg 2.92-3.11, 3 Cd 2.92-2.96, 3 Pd 3.05-3.07
Cd (0.6644, 0.6711, 0.5559)  6 Mg 2.92-3.11, 3 Cd 2.92-2.96, 3 Pd 3.05-3.07
Pd (0.6775, 0.6460, 0.2179)  7 Mg 2.84-3.04, 5 Cd 3.05-3.09
Pd (0.3225, 0.3540, 0.7821)  7 Mg 2.84-3.04, 5 Cd 3.05-3.09

Summary:
As for the crystal system: triclinic. The energy relative to the elements is -349 meV per atom.


(4)
Density functional theory data (GGA-PBE) for a geometry-optimized Na5B7C3 structure.

a = 11.6065 Å, b = 11.6065 Å, c = 9.9931 Å
α = 106.95°, β = 106.95°, γ = 14.01°
Last column: nearest neighbours and their distance in Å.
Element x y z (fractional)
B (0.5917, 0.5917, 0.9333)  2 C 1.63, 1 B 1.73
B (0.1863, 0.1863, 0.1223)  3 C 1.62-1.63
B (0.0833, 0.0833, 0.4144)  3 B 1.75-1.76
B (0.0145, 0.0145, 0.2773)  2 C 1.63, 1 B 1.76
B (0.6233, 0.6233, 0.4956)  1 C 1.60, 2 B 1.75
B (0.9157, 0.9157, 0.5811)  3 B 1.66-1.80
B (0.8801, 0.8801, 0.0116)  3 B 1.75-1.78
B (0.8107, 0.8107, 0.8730)  2 C 1.62, 1 B 1.78
B (0.7797, 0.7797, 0.3100)  3 C 1.60-1.64
B (0.5241, 0.5241, 0.7986)  3 B 1.73-1.81
B (0.9805, 0.9805, 0.7105)  3 B 1.66-1.81
B (0.3720, 0.3720, 0.4944)  1 C 1.54
B (0.4202, 0.4202, 0.0901)  1 C 1.61, 2 B 1.75
B (0.2162, 0.2162, 0.6840)  3 C 1.63
Na (0.7004, 0.7004, 0.9022)  6 B 2.61-2.71, 6 C 2.65-2.73, 6 Na 2.83-2.92
Na (0.1994, 0.1994, 0.3997)  7 B 2.64-2.75, 5 C 2.67-2.73, 6 Na 2.83-2.92
Na (0.1011, 0.1011, 0.7023)  9 B 2.66-2.80, 3 C 2.71-2.83, 6 Na 2.83-2.95
Na (0.2999, 0.2999, 0.0968)  8 B 2.66-2.79, 4 C 2.71-2.75, 6 Na 2.83-2.93
Na (0.7983, 0.7983, 0.6007)  7 B 2.65-2.81, 5 C 2.67-2.76, 6 Na 2.83-2.95
Na (0.9003, 0.9003, 0.2957)  8 B 2.64-2.82, 4 C 2.69-2.79, 6 Na 2.83-2.96
Na (0.5012, 0.5012, 0.4980)  11 B 2.68-2.97, 1 C 2.74, 6 Na 2.83-2.96
Na (0.6002, 0.6002, 0.2020)  8 B 2.63-2.82, 4 C 2.68-2.76, 6 Na 2.83-2.92
Na (0.0010, 0.0010, 0.0025)  9 B 2.66-2.82, 3 C 2.68-2.83, 6 Na 2.83-2.96
Na (0.3993, 0.3993, 0.8020)  11 B 2.67-2.95, 1 C 2.78, 6 Na 2.83-2.96
C (0.2798, 0.2798, 0.8116)  3 B 1.62-1.63
C (0.7177, 0.7177, 0.1845)  3 B 1.60-1.63
C (0.1231, 0.1231, 0.9958)  3 B 1.62-1.63
C (0.3116, 0.3116, 0.3750)  3 B 1.54-1.64
C (0.6852, 0.6852, 0.6211)  3 B 1.60-1.63
C (0.4831, 0.4831, 0.2142)  3 B 1.61-1.63

Summary:
As for the crystal system: monoclinic. The energy relative to the elements is 119 meV per atom.


(5)
Density functional theory data (GGA-PBE) for a geometry-optimized Tm2InOs structure.

a = 4.9730 Å, b = 4.9730 Å, c = 4.9730 Å
α = 60.00°, β = 60.00°, γ = 60.00°
Last column: nearest neighbours and their distance in Å.
Element x y z (fractional)
Tm (0.7500, 0.7500, 0.7500)  4 In 3.05, 4 Os 3.05
Tm (0.2500, 0.2500, 0.2500)  4 In 3.05, 4 Os 3.05
In (0.5000, 0.5000, 0.5000)  8 Tm 3.05
Os (0.0000, 0.0000, 0.0000)  8 Tm 3.05

Summary:
As for the crystal system: cubic. The energy relative to the elements is -286 meV per atom.


(6)
Density functional theory data (GGA-PBE) for a geometry-optimized CeMn5C2 structure.

a = 3.2527 Å, b = 5.6348 Å, c = 5.6348 Å
α = 70.68°, β = 73.22°, γ = 73.22°
Last column: nearest neighbours and their distance in Å.
Element x y z (fractional)
Mn (0.3398, 0.8461, 0.4744)  3 C 2.15-2.21, 2 Mn 2.39
Mn (0.3398, 0.4744, 0.8461)  3 C 2.15-2.21, 2 Mn 2.39
Mn (0.6602, 0.1539, 0.5256)  3 C 2.15-2.21, 2 Mn 2.39
Mn (0.0000, 0.5000, 0.5000)  2 C 2.09
Mn (0.6602, 0.5256, 0.1539)  3 C 2.15-2.21, 2 Mn 2.39
C (0.7574, 0.7426, 0.7426)  7 Mn 2.09-2.21
C (0.2426, 0.2574, 0.2574)  7 Mn 2.09-2.21
Ce (0.0000, 0.0000, 0.0000)  4 C 2.75, 8 Mn 2.96

Summary:
As for the crystal system: orthorhombic. The energy relative to the elements is 36 meV per atom.


| no. | VASP energy (eV per atom) |
| --- | --- |
| 1 | -2.146 |
| 2 | -5.700 |
| 3 | -2.516 |
| 4 | -5.281 |
| 5 | -6.014 |
| 6 | -8.743 |